(1)
9
Lattice="-2.6038 -2.7070 1.6735 5.4623 -5.2211 0.0533 -0.9214 4.5650 5.9508" Properties=species:S:1:pos:R:3 comment="PrSnPt, relaxed, DFT GGA-PBEsol" space_group=P-62m ef_kcal_per_mol_atoms=-24.253 pbc="T T T"
Pr 2.2432 -2.1442 0.0219
Pr 2.6761 -0.3867 3.5384
Pr -0.3784 1.8747 2.4438
Sn -1.9908 2.0593 5.2856
Sn 2.7818 -5.2569 0.8766
Sn -0.1558 -1.5191 2.3521
Pt -0.0954 -0.0506 4.8217
Pt 0.0000 0.0000 0.0000
Pt 2.0325 -3.3126 2.8559

(2)
4
Lattice="2.6381 0.0000 0.0000 0.0000 5.0989 0.0000 0.0000 0.0000 5.2512" Properties=species:S:1:pos:R:3 comment="KMo2W, relaxed, DFT GGA-PBEsol" space_group=Pmmm ef_kcal_per_mol_atoms=40.315 pbc="T T T"
K 0.0000 2.5495 2.6256
Mo 0.0000 0.0000 0.0000
Mo 1.3191 0.0000 2.6256
W 1.3191 2.5495 0.0000

(3)
8
Lattice="-2.3692 -4.4820 0.3886 3.4304 -1.5157 3.4332 -3.4361 4.8575 1.8127" Properties=species:S:1:pos:R:3 comment="SnHgC2, relaxed, DFT GGA-PBEsol" space_group=I-42d ef_kcal_per_mol_atoms=35.485 pbc="T T T"
C 1.2279 -1.8422 3.6073
C -1.6194 -3.2261 2.0763
C -2.4064 2.8766 1.8753
C -1.9518 -0.0886 3.7102
Hg 0.2625 0.1715 3.5784
Hg 0.0000 0.0000 0.0000
Sn -2.6373 -1.3116 2.0561
Sn 0.5306 -2.9988 1.9109

(4)
4
Lattice="3.0705 0.0043 0.0000 -1.0446 2.8874 0.0000 0.0000 0.0000 9.1821" Properties=species:S:1:pos:R:3 comment="ZrIn2Mo, relaxed, DFT GGA-PBEsol" space_group=Cmm2 ef_kcal_per_mol_atoms=3.045 relative_energy_ev_per_atom=0.133 pbc="T T T"
In 0.0000 0.0000 0.0333
In 1.0130 1.4458 6.6963
Mo 0.0000 0.0000 4.5420
Zr 1.0130 1.4458 2.5016

(5)
4
Lattice="-1.7926 0.9298 -2.1572 1.6144 -1.5534 -2.0111 -4.1960 -5.5056 3.1377" Properties=species:S:1:pos:R:3 comment="LiAs2Ru, relaxed, DFT GGA-PBEsol" space_group=Imm2 ef_kcal_per_mol_atoms=-6.791 pbc="T T T"
As -3.8279 -5.3874 -1.1650
As -2.6708 -1.9441 -0.6423
Li -0.5697 -0.9642 -1.9660
Ru -1.7693 -4.2744 -0.3722

(6)
4
Lattice="2.6365 0.0000 0.0000 0.0000 3.5429 0.0000 0.0000 0.0000 5.2551" Properties=species:S:1:pos:R:3 comment="CuNiRh2, relaxed, DFT GGA-PBEsol" space_group=Pmmm ef_kcal_per_mol_atoms=2.491 pbc="T T T"
Ni 1.3183 1.7714 2.6275
Rh 0.0000 0.0000 3.9257
Rh 0.0000 0.0000 1.3294
Cu 1.3183 1.7714 0.0000

(7)
10
Lattice="4.7766 -0.0330 -0.0502 -2.3592 4.1534 0.0502 -2.3479 -1.3918 4.7662" Properties=species:S:1:pos:R:3 comment="V2O3, relaxed, DFT GGA-PBEsol" space_group=R-3c raw_formation_energy_ev_per_atom=-2.33 pbc="T T T"
O -1.9293 0.7128 3.5872
O 1.9988 2.0158 1.1790
O -0.3443 0.6844 1.1955
O 0.4138 2.0442 3.5707
O 0.4490 -0.7458 3.5535
O -0.3795 3.4744 1.2127
V 1.2194 3.4384 0.1006
V -1.1557 2.0624 2.3077
V -1.1499 -0.7098 4.6656
V 1.2251 0.6662 2.4586

(8)
5
Lattice="4.2671 0.0000 0.0000 0.0000 4.2671 0.0000 -2.1335 -2.1335 4.9276" Properties=species:S:1:pos:R:3 comment="PrFeGe3, relaxed, DFT GGA-PBEsol" space_group=I4mm ef_kcal_per_mol_atoms=-13.185 pbc="T T T"
Pr 0.0000 0.0000 0.0074
Ge 2.1335 2.1335 0.6137
Ge 2.1335 0.0000 2.4184
Ge 0.0000 2.1335 2.4184
Fe 0.0000 0.0000 3.3033

(9)
2
Lattice="2.9362 0.0000 0.0000 0.0000 2.9362 0.0000 0.0000 0.0000 2.9362" Properties=species:S:1:pos:R:3 comment="TiCo, relaxed, DFT GGA-PBEsol" space_group=Pm-3m ef_kcal_per_mol_atoms=-9.150 pbc="T T T"
Co 0.0000 0.0000 0.0000
Ti 1.4681 1.4681 1.4681

(10)
4
Lattice="-0.5940 -3.0551 0.9524 1.3522 -1.4449 -3.7919 7.1607 1.6888 4.3222" Properties=species:S:1:pos:R:3 comment="KOsPb2, relaxed, DFT GGA-PBEsol" space_group=Imm2 ef_kcal_per_mol_atoms=12.330 relative_energy_ev_per_atom=0.009 pbc="T T T"
K 1.4027 -2.3262 -1.0257
Os 4.8687 -1.0345 -0.2820
Pb 6.6276 -2.7151 0.9856
Pb 3.3178 -1.7966 1.8677

(11)
5
Lattice="3.9167 0.0000 0.0000 0.0000 3.9167 0.0000 -1.9584 -1.9584 9.0213" Properties=species:S:1:pos:R:3 comment="YCd2Te2, relaxed, DFT GGA-PBEsol" space_group=I4/mmm raw_formation_energy_ev_per_atom=-0.52 pbc="T T T"
Y 0.0000 0.0000 0.0000
Te 0.0000 0.0000 7.3834
Te 1.9584 1.9584 1.6379
Cd 0.0000 1.9584 4.5107
Cd 1.9584 0.0000 4.5107

(12)
5
Lattice="4.5666 0.0000 0.0000 0.0000 4.5666 0.0000 0.0000 0.0000 4.5666" Properties=species:S:1:pos:R:3 comment="CaCo3Pd, relaxed, DFT GGA-PBEsol" space_group=Pm-3m ef_kcal_per_mol_atoms=21.669 pbc="T T T"
Ca 2.2833 2.2833 2.2833
Co 0.0000 2.2833 0.0000
Co 0.0000 0.0000 2.2833
Co 2.2833 0.0000 0.0000
Pd 0.0000 0.0000 0.0000

(13)
10
Lattice="3.2723 0.0000 0.0000 0.0000 6.1438 0.0000 0.0000 0.0000 6.1438" Properties=species:S:1:pos:R:3 comment="MnBe2Nb2, relaxed, DFT GGA-PBEsol" space_group=P4/mbm ef_kcal_per_mol_atoms=-2.863 pbc="T T T"
Be 0.0000 2.3334 5.4053
Be 0.0000 5.4053 3.8104
Be 0.0000 3.8104 0.7385
Be 0.0000 0.7385 2.3334
Nb 1.6362 1.1009 4.1728
Nb 1.6362 4.1728 5.0429
Nb 1.6362 5.0429 1.9710
Nb 1.6362 1.9710 1.1009
Mn 0.0000 0.0000 0.0000
Mn 0.0000 3.0719 3.0719

(14)
4
Lattice="4.0929 0.0000 0.0000 0.0000 4.2904 0.0000 0.0000 0.0000 5.1038" Properties=species:S:1:pos:R:3 comment="Li2TePb, relaxed, DFT GGA-PBEsol" space_group=Pmmm relative_energy_ev_per_atom=0.006 raw_formation_energy_ev_per_atom=-0.51 pbc="T T T"
Pb 2.0464 2.1452 0.0000
Te 2.0464 0.0000 2.5519
Li 0.0000 0.0000 0.0000
Li 0.0000 2.1452 2.5519

(15)
4
Lattice="3.6602 0.0000 0.0000 0.0000 5.8006 0.0000 0.0000 0.0000 7.7356" Properties=species:S:1:pos:R:3 comment="KCa2Y, relaxed, DFT GGA-PBEsol" space_group=Pmm2 ef_kcal_per_mol_atoms=7.291 relative_energy_ev_per_atom=0.143 pbc="T T T"
Ca 0.0000 0.0000 7.6206
Ca 1.8301 2.9003 1.8328
K 0.0000 0.0000 3.8825
Y 1.8301 2.9003 6.0031

(16)
4
Lattice="-0.5521 -3.2804 -0.8780 3.3580 -0.3949 -0.6361 1.2298 -2.3322 7.9409" Properties=species:S:1:pos:R:3 comment="KRhPb2, relaxed, DFT GGA-PBEsol" space_group=P4/mmm ef_kcal_per_mol_atoms=-2.212 pbc="T T T"
Pb 1.0017 -1.8996 6.4680
Pb 0.2281 -0.4326 1.4730
K 2.0179 -3.0038 3.2135
Rh 1.4030 -1.8377 -0.7570

(17)
36
Lattice="6.5971 0.0162 -0.0010 1.4780 6.4294 -0.0010 3.1160 2.4872 8.2205" Properties=species:S:1:pos:R:3 comment="NaVBP2H3O10, relaxed, DFT GGA-PBEsol" space_group=C2/c energy_ev_per_fu=-128.29 pbc="T T T"
Na 5.6707 5.9699 6.1644
Na 5.5203 2.9629 2.0542
V 3.2985 0.0081 -0.0005
V 2.2970 4.4583 4.1098
B 2.4200 6.8470 2.0542
B 8.7710 2.0858 6.1644
P 6.4793 5.8796 2.6469
P 2.4636 2.6742 1.4614
P 4.7117 3.0532 5.5716
P 8.7274 6.2586 6.7572
H 2.5207 5.3349 0.6216
H 3.8721 6.4137 3.4867
H 8.6704 3.5979 7.5969
H 7.3189 2.5191 4.7319
H 4.8565 1.2517 4.1098
H 0.7390 3.2147 -0.0005
O 2.9394 6.2157 0.8248
O 2.9205 6.2006 3.2835
O 8.2517 2.7171 7.3938
O 8.2706 2.7322 4.9350
O 5.5057 5.4569 1.5448
O 3.0916 3.5299 2.5636
O 5.6853 3.4759 6.6738
O 8.0995 5.4029 5.6550
O 7.5536 6.8505 2.0601
O 1.2787 1.8419 2.0482
O 3.6375 2.0822 6.1584
O 9.9124 7.0909 6.1704
O 3.5619 1.7583 0.9127
O 7.1290 4.6056 3.1956
O 7.6291 7.1744 7.3059
O 4.0621 4.3272 5.0229
O 5.7296 6.6913 3.7472
O 1.8383 3.5852 0.3611
O 5.4615 2.2415 4.4714
O 9.3528 5.3476 7.8575

(18)
5
Lattice="-4.5650 -3.3958 -0.6709 3.1512 -4.5987 1.8350 -1.6262 1.0932 5.5322" Properties=species:S:1:pos:R:3 comment="BiSb2SeI, relaxed, DFT GGA-PBEsol" space_group=P4/mmm raw_formation_energy_ev_per_atom=0.95 pbc="T T T"
I -2.2825 -1.6979 -0.3355
Sb -0.8131 0.5466 2.7661
Sb 1.5756 -2.2993 0.9175
Bi 0.0000 0.0000 0.0000
Se -1.5201 -3.4507 3.3481

(19)
4
Lattice="2.8488 0.0000 0.0000 -1.4244 2.4577 0.0000 0.0000 0.0000 10.4346" Properties=species:S:1:pos:R:3 comment="RuAuSe2, relaxed, DFT GGA-PBEsol" space_group=Cmmm raw_formation_energy_ev_per_atom=0.30 pbc="T T T"
Au 1.4244 0.0000 5.2173
Ru 1.4244 0.0000 0.0000
Se 0.0000 0.0000 8.3732
Se 0.0000 0.0000 2.0614

(20)
4
Lattice="-0.5010 -0.4634 -2.6865 3.7858 -0.2342 -0.6656 0.1024 -4.6486 2.2128" Properties=species:S:1:pos:R:3 comment="Tc2PRu, relaxed, DFT GGA-PBEsol" space_group=Amm2 ef_kcal_per_mol_atoms=-5.414 pbc="T T T"
P 1.1539 -0.8296 -1.5020
Ru 3.0083 -2.2162 -1.6086
Tc 2.9289 -4.8154 -1.1454
Tc 1.3258 -3.1800 0.3014

(21)
40
Lattice="7.4593 -0.0177 0.0007 3.6578 6.5660 -0.0041 2.6371 1.9368 9.3117" Properties=species:S:1:pos:R:3 comment="BaTi6O13, relaxed, DFT GGA-PBEsol" space_group=P-1 raw_formation_energy_ev_per_atom=-3.09 pbc="T T T"
Ba 5.4921 0.4397 1.2174
Ba 8.2621 8.0454 8.0908
Ti 3.2926 3.0401 0.1749
Ti 3.3018 2.7708 4.6279
Ti 12.2728 7.4923 7.1464
Ti 5.3350 4.6069 2.3070
Ti 10.4616 5.4450 9.1334
Ti 5.5312 4.6272 6.7122
Ti 7.4458 6.5018 4.6257
Ti 8.4192 3.8782 7.0012
Ti 8.2230 3.8578 2.5960
Ti 1.4814 0.9927 2.1618
Ti 10.4523 5.7143 4.6803
Ti 6.3084 1.9833 4.6825
O 2.9026 1.2491 5.7147
O 7.0395 4.7142 1.3022
O 9.3051 2.5029 3.4156
O 3.9426 4.3916 3.6360
O 4.7848 3.2318 1.1907
O 6.0282 6.3026 8.0056
O 10.8516 7.2359 3.5935
O 4.4903 5.9858 1.3553
O 2.8419 1.3275 1.0100
O 4.4490 5.9821 5.8926
O 7.6420 2.2209 5.9622
O 8.9694 5.2533 8.1175
O 8.7544 5.3930 3.5069
O 9.4883 4.0398 1.0890
O 6.1121 6.2641 3.3460
O 9.2630 6.8943 5.5884
O 10.9122 7.1576 8.2983
O 4.9997 3.0921 5.8013
O 7.1773 5.0431 5.8242
O 4.4912 1.5908 3.7198
O 9.8116 4.0935 5.6722
O 9.2639 2.4992 7.9529
O 7.7260 2.1825 1.3027
O 4.2659 4.4452 8.2192
O 6.5769 3.4419 3.4840
O 6.7147 3.7709 8.0060

(22)
4
Lattice="4.0868 0.0000 0.0000 0.0000 4.0868 0.0000 0.0000 0.0000 6.9052" Properties=species:S:1:pos:R:3 comment="SrCd2Te, relaxed, DFT GGA-PBEsol" space_group=P4mm raw_formation_energy_ev_per_atom=-0.53 pbc="T T T"
Cd 0.0000 0.0000 0.3363
Cd 2.0434 2.0434 1.2740
Sr 0.0000 0.0000 3.6236
Te 2.0434 2.0434 5.1240

(23)
4
Lattice="2.9920 0.0000 0.0000 1.4960 5.1991 0.0235 1.4960 2.3688 4.6282" Properties=species:S:1:pos:R:3 comment="CaSi2Os, relaxed, DFT GGA-PBEsol" space_group=Immm raw_formation_energy_ev_per_atom=-0.02 pbc="T T T"
Ca 1.4960 0.0000 0.0000
Os 1.4960 3.7840 2.3258
Si 2.9920 5.3799 3.3068
Si 2.9920 2.1880 1.3449

(24)
4
Lattice="-3.1448 1.7382 0.7524 -1.4968 -3.7673 2.4472 3.7863 1.1829 4.1368" Properties=species:S:1:pos:R:3 comment="YAg, relaxed, DFT GGA-PBEsol" space_group=Cmcm ef_kcal_per_mol_atoms=-7.313 pbc="T T T"
Y -1.1110 -0.4882 5.4405
Y 0.2557 -0.3580 1.8959
Ag -2.3448 -1.6317 2.9255
Ag 1.4895 0.7855 4.4108

(25)
5
Lattice="5.8683 0.0000 0.0000 0.0000 5.8162 0.0000 0.0000 0.0000 5.8162" Properties=species:S:1:pos:R:3 comment="BiSbTe2C, relaxed, DFT GGA-PBEsol" space_group=P4/mmm raw_formation_energy_ev_per_atom=2.20 pbc="T T T"
Sb 2.9342 0.0000 0.0000
C 2.9342 2.9081 2.9081
Te 0.0000 0.0000 2.9081
Te 0.0000 2.9081 0.0000
Bi 0.0000 0.0000 0.0000